A plane-wave DFT calculation with PBE+U was carried out for a geometry-optimized VCl2F8 structure.

a = 5.547 Å, b = 6.484 Å, c = 6.484 Å
α = 52.50°, β = 81.73°, γ = 81.73°
Each line ends with the local moment (μB).
Sites, in units of the cell vectors:
Cl: 0.482 0.740 0.740  0.05
Cl: 0.518 0.260 0.260  0.05
F: 0.676 0.081 0.081  0.00
F: 0.919 0.684 0.123  0.00
F: 0.607 0.602 0.602  0.01
F: 0.081 0.877 0.316  0.00
F: 0.919 0.123 0.684  0.00
F: 0.081 0.316 0.877  0.00
F: 0.393 0.398 0.398  0.01
F: 0.324 0.919 0.919  0.00
V: 0.000 0.000 0.000  0.00

Properties
Magnetization: 0.16 μB/f.u.
Space group: C2/m, No. 12
Crystal system: monoclinic
Density: 2.49 g/cm3
DFT total energy: -43.067 eV for the cell shown
N(E_F): 1.62 states/eV/cell